Pm2Er5Th | PBE-GGA | relaxed

Values from the calculation:
distance to the lowest polymorph of the same formula: 0.0 kJ per mole of atoms
energy of formation from the pure elements: 0.023 eV per atom
M_tot: 0.00 μB per formula unit
calculated density: 8.9 g cm⁻³

Cell lengths 7.079, 7.079, 7.079 Å; angles 119.66, 119.46, 90.77 degrees
Atoms (fractional coordinates):
1 Pm 0.000 0.000 0.000
2 Pm 0.000 0.500 0.500
3 Er 0.000 0.000 0.500
4 Er 0.000 0.500 0.000
5 Er 0.500 0.000 0.000
6 Er 0.500 0.500 0.000
7 Er 0.500 0.500 0.500
8 Th 0.500 0.000 0.500